Computed, not measured: a relaxed structure of KMgTiTe2 at the PBE-GGA level of DFT.

POSCAR file:
```
KMgTiTe2
1.0
5.462 0.000 0.000
0.000 5.445 0.000
0.000 0.000 5.462
K Te Mg Ti
1 2 1 1
Cartesian
2.731 2.722 2.731
0.000 0.000 2.731
2.731 0.000 0.000
0.000 2.722 0.000
0.000 0.000 0.000
```

The value obtained for the uncorrected formation energy is -0.36 eV/atom. For the final energy, the calculation gives -18.7 eV for the cell shown. The value obtained for the total magnetization is 0.154 μB per atom. The density of states at the Fermi level comes out at 3.3 states/eV per cell.